# TbSb2

An optimized crystal structure of TbSb2 (PBE-GGA, Alexandria).

Lattice parameters (Å, degrees): 3.6471 3.6471 7.5550 90.00 90.00 121.26
Fractional positions:
1 Sb 0.0000 0.5000 0.3264
2 Tb 0.0000 0.0000 0.0000
3 Sb 0.5000 0.0000 0.6736

- Size of the total moment: 0.00 μB/cell
- Density of states at the Fermi level: 2.1 states/eV/cell
- Space-group type: C222 (21)
- E_form (uncorrected): -0.210 eV/atom

# Tb5Sb2

An optimized crystal structure of Tb5Sb2 (PBE-GGA, Alexandria).

Lattice parameters (Å, degrees): 6.3146 8.2841 8.6681 95.89 111.36 90.00
Fractional positions:
1 Sb 0.5687 0.9188 0.7947
2 Sb 0.4313 0.0812 0.2053
3 Tb 0.6540 0.2500 0.0000
4 Tb 0.2278 0.4283 0.1863
5 Tb 0.1912 0.6771 0.5406
6 Sb 0.2260 0.4188 0.7947
7 Tb 0.3495 0.1771 0.5406
8 Tb 0.9585 0.9283 0.1863
9 Tb 0.7722 0.5717 0.8137
10 Tb 0.8088 0.3229 0.4594
11 Tb 0.3460 0.7500 0.0000
12 Tb 0.0415 0.0717 0.8137
13 Sb 0.7740 0.5812 0.2053
14 Tb 0.6505 0.8229 0.4594

- Size of the total moment: 0.00 μB/cell
- Density of states at the Fermi level: 18.5 states/eV/cell
- Space-group type: C2/c (15)
- E_form (uncorrected): -0.618 eV/atom

# Tb12TcSb6

An optimized crystal structure of Tb12TcSb6 (PBE-GGA, Alexandria).

Lattice parameters (Å, degrees): 8.5651 8.5651 8.5651 99.43 99.43 99.43
Fractional positions:
1 Sb 0.6847 0.8793 0.3535
2 Tb 0.3147 0.0567 0.9917
3 Tb 0.4503 0.8033 0.5826
4 Sb 0.3535 0.6847 0.8793
5 Tb 0.9917 0.3147 0.0567
6 Tb 0.5497 0.1967 0.4174
7 Sb 0.8793 0.3535 0.6847
8 Sb 0.1207 0.6465 0.3153
9 Tb 0.1967 0.4174 0.5497
10 Tb 0.6853 0.9433 0.0083
11 Sb 0.3153 0.1207 0.6465
12 Tb 0.0567 0.9917 0.3147
13 Tc 0.0000 0.0000 0.0000
14 Tb 0.9433 0.0083 0.6853
15 Tb 0.0083 0.6853 0.9433
16 Tb 0.8033 0.5826 0.4503
17 Sb 0.6465 0.3153 0.1207
18 Tb 0.4174 0.5497 0.1967
19 Tb 0.5826 0.4503 0.8033

- Size of the total moment: 0.00 μB/cell
- Density of states at the Fermi level: 13.6 states/eV/cell
- Space-group type: R-3 (148)
- E_form (uncorrected): -0.597 eV/atom

# TbTcSb

An optimized crystal structure of TbTcSb (PBE-GGA, Alexandria).

Lattice parameters (Å, degrees): 3.9799 5.6356 7.6363 108.33 90.00 110.68
Fractional positions:
1 Tb 0.1092 0.2183 0.7424
2 Tc 0.6771 0.3541 0.4502
3 Sb 0.8467 0.6935 0.8226
4 Tb 0.8908 0.7817 0.2576
5 Tc 0.3229 0.6459 0.5498
6 Sb 0.1533 0.3065 0.1774

- Size of the total moment: 0.00 μB/cell
- Density of states at the Fermi level: 2.2 states/eV/cell
- Space-group type: C2/m (12)
- E_form (uncorrected): -0.286 eV/atom